The following is a GGA-PBE calculation of an optimized crystal structure of Pm2TcAu, from the Alexandria database.

Structure (extended XYZ):
```
4
Lattice="-1.225 0.672 -3.270 -0.574 -3.473 -0.499 -6.847 0.742 2.717" Properties=species:S:1:pos:R:3 pbc="T T T"
Au -4.323 -1.030 -0.526
Tc -0.899 -1.401 -1.884
Pm -5.272 0.571 2.092
Pm -1.574 0.171 0.625
```

## Properties
- volume (Å³ per atom) = 23.40
- polymorph energy (0 for the lowest one) (eV/atom) = 0.000



The following is a GGA-PBE calculation of an optimized crystal structure of LaSmDy4Tm2, from the Alexandria database.

Structure (extended XYZ):
```
16
Lattice="13.233 1.281 -2.685 1.071 7.012 -0.908 -9.882 -4.743 7.974" Properties=species:S:1:pos:R:3 pbc="T T T"
La 2.212 1.775 2.191
La 3.351 -3.462 5.289
Sm 0.535 3.506 -0.454
Sm -4.405 1.135 3.533
Dy -6.204 -0.053 6.313
Dy 4.823 -0.545 1.435
Dy -0.401 4.094 2.947
Dy 10.625 3.603 -1.932
Dy 11.153 7.110 -2.384
Dy 5.356 2.957 0.981
Dy -0.934 0.593 3.400
Dy -6.731 -3.560 6.766
Tm 6.616 0.640 -1.342
Tm 2.747 5.281 1.736
Tm -4.942 -2.371 3.987
Tm -2.730 -0.596 6.177
```

## Properties
- volume (Å³ per atom) = 31.94
- electronic total energy (eV/atom) = -4.62



The following is a GGA-PBE calculation of an optimized crystal structure of BaLa3O, from the Alexandria database.

Structure (extended XYZ):
```
5
Lattice="5.884 0.000 0.000 0.000 5.884 0.000 0.000 0.000 5.884" Properties=species:S:1:pos:R:3 pbc="T T T"
Ba 0.000 0.000 0.000
O 2.942 2.942 2.942
La 0.000 2.942 0.000
La 0.000 0.000 2.942
La 2.942 0.000 0.000
```

## Properties
- raw formation energy (eV/atom) = 1.11
- volume (Å³ per atom) = 40.73
- polymorph energy (0 for the lowest one) (eV/atom) = 2.062



The following is a GGA-PBE calculation of an optimized crystal structure of SrScRh2, from the Alexandria database.

Structure (extended XYZ):
```
4
Lattice="-3.769 -4.099 -2.048 0.430 -2.144 -5.516 2.560 0.819 5.290" Properties=species:S:1:pos:R:3 pbc="T T T"
Rh -3.264 -6.103 -7.393
Rh -1.418 -3.161 -0.221
Sc -1.780 -3.329 -4.032
Sr 0.674 -2.198 -1.972
```

## Properties
- volume (Å³ per atom) = 20.24
- polymorph energy (0 for the lowest one) (eV/atom) = 0.315



The following is a GGA-PBE calculation of an optimized crystal structure of LaHg2Os, from the Alexandria database.

Structure (extended XYZ):
```
4
Lattice="3.457 0.000 0.000 0.000 3.457 0.000 0.000 0.000 7.935" Properties=species:S:1:pos:R:3 pbc="T T T"
Hg 0.000 0.000 7.642
Hg 1.729 1.729 1.769
La 0.000 0.000 4.340
Os 1.729 1.729 6.085
```

## Properties
- volume (Å³ per atom) = 23.71
- electronic total energy (eV/atom) = -3.98



The following is a GGA-PBE calculation of an optimized crystal structure of Hf3GeH2, from the Alexandria database.

Structure (extended XYZ):
```
12
Lattice="3.191 0.000 0.000 0.000 5.754 0.052 0.000 -1.186 9.845" Properties=species:S:1:pos:R:3 pbc="T T T"
Hf 2.393 5.250 1.561
Hf 0.798 -0.682 8.336
Hf 2.393 2.440 8.608
Hf 0.798 2.128 1.289
Hf 0.798 0.873 4.063
Hf 2.393 3.695 5.834
Ge 0.798 3.686 3.500
Ge 2.393 0.882 6.397
H 0.798 1.239 9.146
H 2.393 3.329 0.751
H 2.393 0.070 3.371
H 0.798 4.498 6.526
```

## Properties
- volume (Å³ per atom) = 15.08
- electronic total energy (eV/atom) = -7.17



The following is a GGA-PBE calculation of an optimized crystal structure of Rb3ZrSb, from the Alexandria database.

Structure (extended XYZ):
```
5
Lattice="7.010 0.000 0.000 0.000 7.010 0.000 0.000 0.000 7.010" Properties=species:S:1:pos:R:3 pbc="T T T"
Sb 0.000 0.000 0.000
Rb 0.000 3.505 0.000
Rb 0.000 0.000 3.505
Rb 3.505 0.000 0.000
Zr 3.505 3.505 3.505
```

## Properties
- raw formation energy (eV/atom) = 0.86
- volume (Å³ per atom) = 68.89
- polymorph energy (0 for the lowest one) (eV/atom) = 0.000



The following is a GGA-PBE calculation of an optimized crystal structure of SmTiBi, from the Alexandria database.

Structure (extended XYZ):
```
6
Lattice="4.330 0.000 0.000 0.000 4.330 0.000 0.000 0.000 8.226" Properties=species:S:1:pos:R:3 pbc="T T T"
Sm 0.000 2.165 6.968
Sm 2.165 0.000 1.257
Bi 0.000 2.165 2.088
Bi 2.165 0.000 6.137
Ti 2.165 2.165 4.113
Ti 0.000 0.000 4.113
```

## Properties
- volume (Å³ per atom) = 25.70
- electronic total energy (eV/atom) = -5.96



The following is a GGA-PBE calculation of an optimized crystal structure of Li2DySbSe4, from the Alexandria database.

Structure (extended XYZ):
```
8
Lattice="-2.341 0.692 -3.256 -1.868 -6.663 -0.074 -5.796 -0.929 3.970" Properties=species:S:1:pos:R:3 pbc="T T T"
Li -5.796 -0.929 3.970
Li -4.069 -0.118 0.357
Dy -3.832 -3.796 1.948
Sb -2.104 -2.985 -1.665
Se -5.739 -5.736 2.906
Se -4.266 -1.164 -2.266
Se -4.019 -4.904 -0.696
Se -5.986 -1.996 1.336
```

## Properties
- raw formation energy (eV/atom) = -1.16
- volume (Å³ per atom) = 23.45



The following is a GGA-PBE calculation of an optimized crystal structure of Te2OsPbN, from the Alexandria database.

Structure (extended XYZ):
```
5
Lattice="5.793 0.000 0.000 0.000 5.793 0.000 0.000 0.000 4.090" Properties=species:S:1:pos:R:3 pbc="T T T"
Pb 0.000 0.000 0.000
Te 0.000 2.897 0.000
Te 2.897 0.000 0.000
Os 2.897 2.897 2.045
N 0.000 0.000 2.045
```

## Properties
- raw formation energy (eV/atom) = 2.12
- volume (Å³ per atom) = 27.45
- polymorph energy (0 for the lowest one) (eV/atom) = 1.915



The following is a GGA-PBE calculation of an optimized crystal structure of NaPu2Br4, from the Alexandria database.

Structure (extended XYZ):
```
7
Lattice="3.567 0.000 0.000 0.000 7.726 0.557 -1.784 -3.301 7.426" Properties=species:S:1:pos:R:3 pbc="T T T"
Na 0.000 0.000 0.000
Pu 1.784 5.315 4.408
Pu 0.000 -0.890 3.575
Br 1.784 -0.626 6.090
Br 0.000 5.051 1.893
Br 1.784 1.058 2.287
Br 0.000 3.367 5.696
```

## Properties
- raw formation energy (eV/atom) = -0.97
- volume (Å³ per atom) = 30.17



The following is a GGA-PBE calculation of an optimized crystal structure of BeRhSCl2, from the Alexandria database.

Structure (extended XYZ):
```
5
Lattice="4.799 0.000 0.000 0.000 4.799 0.000 0.000 0.000 4.578" Properties=species:S:1:pos:R:3 pbc="T T T"
Be 2.400 2.400 2.289
S 0.000 0.000 2.289
Rh 0.000 0.000 0.000
Cl 0.000 2.400 0.000
Cl 2.400 0.000 0.000
```

## Properties
- raw formation energy (eV/atom) = 0.43
- volume (Å³ per atom) = 21.09
- polymorph energy (0 for the lowest one) (eV/atom) = 0.224